No. 1
A plane-wave DFT calculation with PBE-GGA was carried out for an optimized crystal structure of TlZnIn3.

POSCAR file:
```
TlZnIn3
1.0
-4.966 -1.603 0.944
1.667 -5.029 0.228
0.826 0.510 5.213
Tl Zn In
1 1 3
direct
0.500 0.500 0.500 Tl
0.000 0.000 0.000 Zn
0.000 0.500 0.000 In
0.000 0.000 0.500 In
0.500 0.000 0.000 In
```

## Properties
E above lowest polymorph   0.141 eV/atom
ΔH_f (0 K)   205 meV per atom


No. 2
A plane-wave DFT calculation with PBE-GGA was carried out for an optimized crystal structure of TlZnIn.

POSCAR file:
```
TlZnIn
1.0
4.663 -2.692 0.000
0.000 5.384 0.000
0.000 0.000 6.207
Tl Zn In
2 2 2
direct
0.333 0.667 0.750 Tl
0.667 0.333 0.250 Tl
0.000 0.000 0.000 Zn
0.000 0.000 0.500 Zn
0.333 0.667 0.250 In
0.667 0.333 0.750 In
```

## Properties
ΔH_f (0 K)   218 meV per atom


No. 3
A plane-wave DFT calculation with PBE-GGA was carried out for an optimized crystal structure of TlZn2In.

POSCAR file:
```
TlZn2In
1.0
-1.586 -2.674 4.024
0.937 -4.991 0.265
3.376 -1.778 3.362
In Tl Zn
1 1 2
direct
0.500 0.500 0.500 In
0.750 0.750 0.750 Tl
0.000 0.000 0.000 Zn
0.250 0.250 0.250 Zn
```

## Properties
E above lowest polymorph   0.136 eV/atom
ΔH_f (0 K)   238 meV per atom